1.
A relaxed ZnRu3Pb crystal, computed with GGA-PBE. Values from VASP.

```
&SYSTEM
  ibrav = 0, nat = 5, ntyp = 3
/
ATOMIC_SPECIES
Pb 207.20 Pb.upf
Zn 65.41 Zn.upf
Ru 101.07 Ru.upf
ATOMIC_POSITIONS angstrom
Pb 2.2928 2.2928 2.2928
Zn 0.0000 0.0000 0.0000
Ru 2.2928 0.0000 0.0000
Ru 0.0000 0.0000 2.2928
Ru 0.0000 2.2928 0.0000
CELL_PARAMETERS angstrom
4.5857 0.0000 0.0000
0.0000 4.5857 0.0000
0.0000 0.0000 4.5857
```

Values from the calculation:
The value obtained for the magnetization is 0.7808 μB/atom. For the energy above the most stable polymorph in this dataset, the calculation gives 0.0000 eV per atom. The space group is Pm-3m, No. 221. The crystal system is cubic.

2.
A relaxed CeZnCdAu crystal, computed with GGA-PBE. Values from VASP.

```
&SYSTEM
  ibrav = 0, nat = 4, ntyp = 4
/
ATOMIC_SPECIES
Zn 65.41 Zn.upf
Cd 112.41 Cd.upf
Au 196.97 Au.upf
Ce 140.12 Ce.upf
ATOMIC_POSITIONS angstrom
Zn 0.0000 0.0000 0.0000
Cd 7.4392 4.2950 3.0370
Au 4.9595 2.8633 2.0247
Ce 2.4797 1.4317 1.0123
CELL_PARAMETERS angstrom
4.9595 0.0000 0.0000
2.4797 4.2950 0.0000
2.4797 1.4317 4.0494
```

Values from the calculation:
The value obtained for the magnetization is 0.1282 μB/atom. The space group is F-43m, No. 216. The crystal system is cubic.

3.
A relaxed TmUSi2 crystal, computed with GGA-PBE. Values from VASP.

```
&SYSTEM
  ibrav = 0, nat = 4, ntyp = 3
/
ATOMIC_SPECIES
Tm 168.93 Tm.upf
Si 28.09 Si.upf
U 238.03 U.upf
ATOMIC_POSITIONS angstrom
Tm -4.3222 0.1082 3.7211
Si -2.1570 -0.0004 1.7901
U 0.0000 0.0000 0.0000
Si -6.4875 0.2168 5.6521
CELL_PARAMETERS angstrom
-4.0770 0.0149 -0.2520
-2.1820 -2.7929 2.0308
-2.3854 2.9944 5.6635
```

Values from the calculation:
The value obtained for the magnetization is 0.2046 μB/atom. The space group is R-3m, No. 166. The uncorrected formation energy is -0.24 eV/atom. The crystal system is trigonal.

4.
A relaxed TbPr5Y2 crystal, computed with GGA-PBE. Values from VASP.

```
&SYSTEM
  ibrav = 0, nat = 16, ntyp = 3
/
ATOMIC_SPECIES
Pr 140.91 Pr.upf
Tb 158.93 Tb.upf
Y 88.91 Y.upf
ATOMIC_POSITIONS angstrom
Pr 4.9830 5.3009 15.8961
Pr 3.9969 9.1595 18.8032
Tb 6.1880 2.0701 9.3214
Y 3.9229 -0.2553 3.0170
Pr 4.7618 0.4176 6.4143
Pr 1.0519 5.9393 12.9890
Pr 7.8549 8.7290 20.2848
Y 0.4564 5.0439 9.5917
Pr 0.9037 0.8481 4.9327
Pr 1.8244 2.1350 11.5074
Pr 3.7756 4.2762 9.3214
Pr 6.9342 7.4421 13.7101
Tb 2.5707 7.5071 15.8961
Y 3.3191 3.6293 6.0341
Y 4.3793 4.7886 12.6088
Pr 7.7067 3.6378 12.2285
CELL_PARAMETERS angstrom
7.8459 -0.5106 6.0341
-1.2076 7.7692 6.0341
2.1204 2.3186 13.1494
```

Values from the calculation:
The value obtained for the magnetization is 0.0000 μB/atom. For the energy above the most stable polymorph in this dataset, the calculation gives 0.1899 eV per atom. The space group is C2/c, No. 15. The crystal system is monoclinic.

5.
A relaxed Nb5SnC crystal, computed with GGA-PBE. Values from VASP.

```
&SYSTEM
  ibrav = 0, nat = 14, ntyp = 3
/
ATOMIC_SPECIES
Nb 92.91 Nb.upf
Sn 118.71 Sn.upf
C 12.01 C.upf
ATOMIC_POSITIONS angstrom
Nb 2.4741 4.5180 -0.4337
Nb 4.3267 4.0408 2.4601
Nb 4.1999 0.2869 6.0165
Nb 4.7851 2.5191 -1.5038
Nb 2.3474 0.7641 3.1228
Nb 1.8889 2.2858 7.0867
Nb 1.6742 5.1546 4.7734
Sn 3.3527 1.9382 0.8095
Nb 1.1848 3.5898 2.0527
Nb 5.4892 1.2151 3.5302
Sn 3.3214 2.8667 4.7734
Nb 4.9998 -0.3497 0.8095
C 0.4196 0.3021 3.9639
C 0.0000 0.0000 0.0000
CELL_PARAMETERS angstrom
5.3059 -1.2174 -1.1724
0.5288 5.4181 -1.1724
0.8393 0.6042 7.9278
```

Values from the calculation:
The value obtained for the magnetization is 0.0000 μB/atom. The space group is C2/c, No. 15. The crystal system is monoclinic.

6.
A relaxed CaCr2Au crystal, computed with GGA-PBE. Values from VASP.

```
&SYSTEM
  ibrav = 0, nat = 4, ntyp = 3
/
ATOMIC_SPECIES
Cr 52.00 Cr.upf
Au 196.97 Au.upf
Ca 40.08 Ca.upf
ATOMIC_POSITIONS angstrom
Cr 0.1553 0.0692 0.4905
Cr -1.7026 0.0817 2.1682
Au 1.0023 0.4467 3.1648
Ca -0.5482 0.5962 5.8131
CELL_PARAMETERS angstrom
-2.3784 2.1324 0.4523
-1.9544 -2.3825 0.9553
2.1597 0.9626 6.8194
```

Values from the calculation:
The value obtained for the magnetization is 0.0179 μB/atom. For the energy above the most stable polymorph in this dataset, the calculation gives 0.0000 eV per atom. The space group is P4mm, No. 99. The crystal system is tetragonal.

In the order shown, the computed calculated total energy values come out to -5.2645 -3.2770 -6.8902 -4.9793 -9.2342 -5.9970 eV/atom.